(1)
The following is a PBE calculation of a geometry-optimized Ce2UCu structure, from Alexandria.

Lattice parameters (Å, degrees): 5.2607 5.2607 3.0586 90.00 90.00 90.00
Fractional coordinates of all 4 atoms:
1 Ce 0.0000 0.5000 0.0000
2 Ce 0.5000 0.0000 0.0000
3 U 0.0000 0.0000 0.5000
4 Cu 0.5000 0.5000 0.5000

Computed properties:
ΔH_f (0 K), meV/atom: 72
Spin magnetization, μB per atom: 0.129
Symmetry: P4/mmm
D(E_F), states/eV per cell: 9.11
ρ, Mg/m³: 11.41



(2)
The following is a PBE calculation of a geometry-optimized Rb5Ag structure, from Alexandria.

Lattice parameters (Å, degrees): 12.6504 12.6504 7.2190 90.00 90.00 156.89
Fractional coordinates of all 6 atoms:
1 Rb 0.0000 0.0000 0.0000
2 Rb 0.1067 0.8933 0.5000
3 Rb 0.3292 0.6708 0.0000
4 Rb 0.6708 0.3292 0.0000
5 Rb 0.8933 0.1067 0.5000
6 Ag 0.5000 0.5000 0.5000

Computed properties:
ΔH_f (0 K), meV/atom: 91
Spin magnetization, μB per atom: 0.000
Symmetry: Cmmm
D(E_F), states/eV per cell: 3.65
ρ, Mg/m³: 1.96



(3)
The following is a PBE calculation of a geometry-optimized HfRe3Hg structure, from Alexandria.

Lattice parameters (Å, degrees): 4.8121 4.8121 4.8121 90.00 90.00 90.00
Fractional coordinates of all 5 atoms:
1 Hf 0.0000 0.0000 0.0000
2 Re 0.0000 0.0000 0.5000
3 Re 0.0000 0.5000 0.0000
4 Re 0.5000 0.0000 0.0000
5 Hg 0.5000 0.5000 0.5000

Computed properties:
ΔH_f (0 K), meV/atom: 2491
Spin magnetization, μB per atom: 0.519
Symmetry: Pm-3m
D(E_F), states/eV per cell: 4.60
ρ, Mg/m³: 13.97